1.
## Ag2HgSe (PBE-GGA)

Data for Ag2HgSe after structural relaxation.

Output
VASP energy	-2.296	eV per atom
mass density	9.94	Mg/m³
formation energy from raw total energies	0.076	eV/atom
energy above the most stable polymorph in this dataset	7.50	kJ per mole of atoms

a b c (Å): 4.8912 4.8912 4.8912
angles (deg): 60.00 60.00 60.00
Fractional coordinates of all 4 atoms:
Hg: 0.5000 0.5000 0.5000
Ag: 0.2500 0.2500 0.2500
Se: 0.0000 0.0000 0.0000
Ag: 0.7500 0.7500 0.7500



2.
## MgTe4 (PBE-GGA)

Data for MgTe4 after structural relaxation.

Output
VASP energy	-2.875	eV per atom
mass density	5.45	Mg/m³
formation energy from raw total energies	-0.042	eV/atom
energy above the most stable polymorph in this dataset	5.91	kJ per mole of atoms

a b c (Å): 7.1521 7.1521 7.1521
angles (deg): 93.18 93.18 152.75
Fractional coordinates of all 5 atoms:
Te: 0.2675 0.6186 0.8860
Mg: 0.0000 0.0000 0.0000
Te: 0.6186 0.7325 0.3511
Te: 0.7325 0.3814 0.1140
Te: 0.3814 0.2675 0.6489



3.
## Pm3Dy2Tm (PBE-GGA)

Data for Pm3Dy2Tm after structural relaxation.

Output
VASP energy	-4.547	eV per atom
mass density	7.69	Mg/m³
E_form	10.3	kJ/mol of atoms
energy above the most stable polymorph in this dataset	9.53	kJ per mole of atoms

a b c (Å): 3.5432 6.8110 17.5190
angles (deg): 79.71 84.20 74.92
Fractional coordinates of all 12 atoms:
Pm: 0.0675 0.0327 0.8324
Tm: 0.5403 0.6019 0.3176
Pm: 0.9325 0.9673 0.1676
Pm: 0.3724 0.2655 0.9897
Tm: 0.4597 0.3981 0.6824
Dy: 0.1975 0.4392 0.1658
Pm: 0.7350 0.8669 0.6630
Dy: 0.6315 0.2366 0.5004
Pm: 0.2650 0.1331 0.3370
Dy: 0.3685 0.7634 0.4996
Pm: 0.6276 0.7345 0.0103
Dy: 0.8025 0.5608 0.8342



4.
## YHf3N (PBE-GGA)

Data for YHf3N after structural relaxation.

Output
VASP energy	-9.480	eV per atom
mass density	10.91	Mg/m³
formation energy from raw total energies	-0.550	eV/atom
energy above the most stable polymorph in this dataset	0.00	kJ per mole of atoms

a b c (Å): 4.5969 4.5969 4.5969
angles (deg): 90.00 90.00 90.00
Fractional coordinates of all 5 atoms:
N: 0.0000 0.0000 0.0000
Hf: 0.0000 0.5000 0.0000
Y: 0.5000 0.5000 0.5000
Hf: 0.0000 0.0000 0.5000
Hf: 0.5000 0.0000 0.0000